HfHgBr3 | GGA-PBE | optimized geometry

Raw formation energy in eV per atom: -0.766
Space group: No. 221
DFT total energy in eV/cell: -19.10

extended XYZ file:
```
5
Lattice="-0.303 -3.860 3.650 4.680 -1.923 -1.645 2.513 3.117 3.505" Properties=species:S:1:pos:R:3 pbc="T T T"
Br 1.256 1.558 1.752
Br 2.340 -0.962 -0.823
Hf 0.000 0.000 0.000
Br -0.152 -1.930 1.825
Hg 3.445 -1.333 2.755
```